## MgHg2Os (PBEsol)

Data for a relaxed structure of MgHg2Os.

abc: 9.339 9.339 9.339
angles: 18.55 18.55 18.55
Fractional positions:
Mg1 0.000 0.000 0.000
Hg1 0.250 0.250 0.250
Hg2 0.750 0.750 0.750
Os1 0.500 0.500 0.500

ΔE_f in eV/f.u.: 1.80
Fermi-level density of states in states/eV per atom: 0.78
Magnetization in μB per formula unit: 0.004


## MgHg2Os (PBEsol)

Data for a relaxed structure of MgHg2Os.

abc: 2.999 2.999 7.948
angles: 90.00 90.00 90.00
Fractional positions:
Mg1 0.000 0.000 0.000
Hg1 0.500 0.500 0.258
Hg2 0.500 0.500 0.742
Os1 0.000 0.000 0.500

ΔE_f in eV/f.u.: 1.93
Fermi-level density of states in states/eV per atom: 0.86
Magnetization in μB per formula unit: 0.001


## Mg2HgOs (PBEsol)

Data for a relaxed structure of Mg2HgOs.

abc: 3.416 3.416 5.956
angles: 90.00 90.00 90.00
Fractional positions:
Mg1 0.000 0.000 0.000
Mg2 0.500 0.500 0.286
Hg1 0.500 0.500 0.752
Os1 0.000 0.000 0.485

ΔE_f in eV/f.u.: 1.24
Fermi-level density of states in states/eV per atom: 0.76
Magnetization in μB per formula unit: 0.000


## Mg2HgOs (PBEsol)

Data for a relaxed structure of Mg2HgOs.

abc: 2.825 4.771 5.066
angles: 90.00 90.00 90.00
Fractional positions:
Mg1 0.000 0.000 0.000
Mg2 0.000 0.500 0.356
Hg1 0.500 0.000 0.515
Os1 0.500 0.500 0.862

ΔE_f in eV/f.u.: 0.57
Fermi-level density of states in states/eV per atom: 0.34
Magnetization in μB per formula unit: 0.000


## MgHgP (PBEsol)

Data for a relaxed structure of MgHgP.

abc: 4.519 4.519 4.519
angles: 60.00 60.00 60.00
Fractional positions:
Mg1 0.000 0.000 0.000
Hg1 0.750 0.750 0.750
P1 0.500 0.500 0.500

ΔE_f in eV/f.u.: 0.36
Fermi-level density of states in states/eV per atom: 0.56
Magnetization in μB per formula unit: 0.000


## Mg2HgP2 (PBEsol)

Data for a relaxed structure of Mg2HgP2.

abc: 5.671 5.671 5.671
angles: 131.59 131.59 70.88
Fractional positions:
Mg1 0.250 0.750 0.500
Mg2 0.750 0.250 0.500
Hg1 0.000 0.000 0.000
P1 0.381 0.381 0.000
P2 0.619 0.619 0.000

ΔE_f in eV/f.u.: -1.82
Fermi-level density of states in states/eV per atom: 0.07
Magnetization in μB per formula unit: 0.000


## Mg4HgP (PBEsol)

Data for a relaxed structure of Mg4HgP.

abc: 5.620 5.620 5.620
angles: 60.00 60.00 60.00
Fractional positions:
Mg1 0.376 0.376 0.376
Mg2 0.376 0.376 0.873
Mg3 0.376 0.873 0.376
Mg4 0.873 0.376 0.376
Hg1 0.000 0.000 0.000
P1 0.750 0.750 0.750

ΔE_f in eV/f.u.: 1.15
Fermi-level density of states in states/eV per atom: 0.65
Magnetization in μB per formula unit: 0.001


## MgHgP2 (PBEsol)

Data for a relaxed structure of MgHgP2.

abc: 3.946 3.689 5.396
angles: 90.00 109.09 90.00
Fractional positions:
Mg1 0.000 0.000 0.000
Hg1 0.500 0.500 0.000
P1 0.000 0.000 0.500
P2 0.500 0.500 0.500

ΔE_f in eV/f.u.: 0.78
Excess energy over the best structure of this formula in the dataset in meV per atom: 197
Fermi-level density of states in states/eV per atom: 0.32
Magnetization in μB per formula unit: 0.000


## MgHgP2 (PBEsol)

Data for a relaxed structure of MgHgP2.

abc: 3.633 3.633 5.766
angles: 90.00 90.00 90.00
Fractional positions:
Mg1 0.000 0.000 0.000
Hg1 0.000 0.000 0.500
P1 0.500 0.500 0.186
P2 0.500 0.500 0.814

ΔE_f in eV/f.u.: -0.01
Excess energy over the best structure of this formula in the dataset in meV per atom: 0
Fermi-level density of states in states/eV per atom: 0.37
Magnetization in μB per formula unit: 0.000


## Mg2HgPb (PBEsol)

Data for a relaxed structure of Mg2HgPb.

abc: 5.062 5.062 5.062
angles: 120.52 120.52 89.11
Fractional positions:
Mg1 0.250 0.750 0.500
Mg2 0.750 0.250 0.500
Hg1 0.000 0.000 0.000
Pb1 0.500 0.500 0.000

ΔE_f in eV/f.u.: -0.69
Excess energy over the best structure of this formula in the dataset in meV per atom: 23
Fermi-level density of states in states/eV per atom: 0.34
Magnetization in μB per formula unit: 0.000


## MgHgPb2 (PBEsol)

Data for a relaxed structure of MgHgPb2.

abc: 3.444 3.444 8.592
angles: 90.00 90.00 90.10
Fractional positions:
Mg1 0.000 0.000 0.000
Hg1 0.500 0.500 0.806
Pb1 0.000 0.000 0.550
Pb2 0.500 0.500 0.255

ΔE_f in eV/f.u.: -0.41
Fermi-level density of states in states/eV per atom: 0.43
Magnetization in μB per formula unit: 0.000


## MgHgPb2 (PBEsol)

Data for a relaxed structure of MgHgPb2.

abc: 5.954 5.954 5.576
angles: 106.65 106.65 33.05
Fractional positions:
Mg1 0.000 0.000 0.000
Hg1 0.709 0.709 0.270
Pb1 0.247 0.247 0.798
Pb2 0.468 0.468 0.480

ΔE_f in eV/f.u.: -0.25
Fermi-level density of states in states/eV per atom: 0.44
Magnetization in μB per formula unit: 0.000